Crystalline Tb6Y2In at its relaxed geometry. Source: Alexandria via LeMat-Bulk, functional GGA-PBE.

```
18
Lattice="6.130 -0.982 0.112 -1.655 10.008 5.982 -2.978 2.254 10.332" Properties=species:S:1:pos:R:3 pbc="T T T"
Tb -1.457 5.386 6.062
Tb -0.851 2.008 6.635
Tb 2.954 5.895 10.364
Tb -0.117 7.048 8.713
Tb 0.526 10.828 14.297
Tb 1.328 2.833 10.928
Tb 1.853 5.557 4.497
Tb -0.356 5.723 11.929
Tb 0.971 0.453 2.129
Tb 2.348 9.272 9.791
Tb 1.614 4.233 7.713
Tb 0.168 8.447 5.498
In 3.117 7.252 7.162
In -1.620 4.028 9.264
Y 2.344 2.161 4.942
Y -0.586 3.318 3.290
Y -0.847 9.120 11.483
Y 2.082 7.962 13.136
```

## Properties
* total magnetic moment: 0.000 μB/cell
* energy above the most stable polymorph in this dataset: 0 meV/atom
* formation enthalpy at 0 K: -0.10 eV/atom